## 1
Compound: InSbI4
Source: the Alexandria database
Functional: PBE-GGA
Structure: optimized geometry

Results
Total magnetic moment (μB/cell): 0.00
D(E_F) (states/eV per cell): 0.6

Cell and atoms, written as POSCAR:
```
InSbI4
1.0
9.845 -3.155 0.000
9.845 3.155 0.000
-2.811 0.000 9.939
In Sb I
2 2 8
Direct
0.218 0.218 0.290 In
0.782 0.782 0.710 In
0.102 0.102 0.675 Sb
0.898 0.898 0.325 Sb
0.050 0.050 0.339 I
0.146 0.146 0.961 I
0.257 0.257 0.649 I
0.395 0.395 0.348 I
0.605 0.605 0.652 I
0.743 0.743 0.351 I
0.854 0.854 0.039 I
0.950 0.950 0.661 I
```

***

## 2
Compound: InSbI4
Source: the Alexandria database
Functional: PBE-GGA
Structure: optimized geometry

Results
Total magnetic moment (μB/cell): 0.00

Cell and atoms, written as POSCAR:
```
InSbI4
1.0
7.439 -2.243 0.000
7.439 2.243 0.000
-1.749 0.000 8.497
In Sb I
1 1 4
Direct
0.000 0.000 0.000 In
0.500 0.500 0.500 Sb
0.122 0.122 0.404 I
0.375 0.375 0.179 I
0.625 0.625 0.821 I
0.878 0.878 0.596 I
```

***

Most stable to least stable: 2, 1

***

## 1
Compound: InSbI3
Source: the Alexandria database
Functional: PBE-GGA
Structure: optimized geometry

Results
Total magnetic moment (μB/cell): 0.00
D(E_F) (states/eV per cell): 1.9

Cell and atoms, written as POSCAR:
```
InSbI3
1.0
6.123 0.000 0.000
0.000 6.123 0.000
0.000 0.000 6.123
In Sb I
1 1 3
Direct
0.000 0.000 0.000 In
0.500 0.500 0.500 Sb
0.000 0.500 0.500 I
0.500 0.000 0.500 I
0.500 0.500 0.000 I
```

***

## 2
Compound: InSbI3
Source: the Alexandria database
Functional: PBE-GGA
Structure: optimized geometry

Results
Total magnetic moment (μB/cell): 0.00
D(E_F) (states/eV per cell): 4.0

Cell and atoms, written as POSCAR:
```
InSbI3
1.0
4.328 0.000 0.000
0.011 11.044 0.000
2.080 2.384 10.912
In Sb I
2 2 6
Direct
0.137 0.013 0.191 In
0.863 0.987 0.809 In
0.279 0.570 0.940 Sb
0.721 0.430 0.060 Sb
0.107 0.227 0.288 I
0.229 0.831 0.034 I
0.433 0.118 0.653 I
0.567 0.882 0.347 I
0.771 0.169 0.966 I
0.893 0.773 0.712 I
```

***

Most stable to least stable: 2, 1

***

## 1
Compound: InSb2SeI
Source: the Alexandria database
Functional: PBE-GGA
Structure: optimized geometry

Results
Total magnetic moment (μB/cell): 0.44
D(E_F) (states/eV per cell): 4.9

Cell and atoms, written as POSCAR:
```
InSb2SeI
1.0
5.727 0.000 0.000
0.000 5.727 0.000
0.000 0.000 5.601
In Sb Se I
1 2 1 1
Direct
0.000 0.000 0.000 In
0.000 0.500 0.000 Sb
0.500 0.000 0.000 Sb
0.500 0.500 0.500 Se
0.000 0.000 0.500 I
```

***

## 2
Compound: InSb2SeI
Source: the Alexandria database
Functional: PBE-GGA
Structure: optimized geometry

Results
Total magnetic moment (μB/cell): 0.48
D(E_F) (states/eV per cell): 5.0

Cell and atoms, written as POSCAR:
```
InSb2SeI
1.0
5.491 0.000 0.000
0.000 5.491 0.000
0.000 0.000 5.935
In Sb Se I
1 2 1 1
Direct
0.000 0.000 0.000 In
0.000 0.500 0.500 Sb
0.500 0.000 0.500 Sb
0.500 0.500 0.500 Se
0.500 0.500 0.000 I
```

***

Most stable to least stable: 2, 1